# PBE PmZnSiPd, relaxed
# Final energy (eV per atom): -4.60
# V (A^3/atom): 18.52
# Total magnetization (μB per atom): 0.00
# ΔE_f (raw) (meV/atom): -444
data_PmZnSiPd
_chemical_formula_sum 'Pm4 Zn4 Si4 Pd4'
_symmetry_space_group_name_H-M 'F -4 3 m'
_symmetry_Int_Tables_number 216
_symmetry_space_group_name_Hall 'F -4 2 3'
_cell_length_a 6.667
_cell_length_b 6.667
_cell_length_c 6.667
_cell_angle_alpha 90.00
_cell_angle_beta 90.00
_cell_angle_gamma 90.00
loop_
_atom_site_label
_atom_site_type_symbol
_atom_site_fract_x
_atom_site_fract_y
_atom_site_fract_z
_atom_site_occupancy
Pm1 Pm 0.000 0.000 0.000 1
Zn1 Zn 0.250 0.250 0.250 1
Si1 Si 0.250 0.250 0.750 1
Pd1 Pd 0.000 0.000 0.500 1